(1)
The following is a PBE calculation of Ac4LaPr5 after structural relaxation, from Alexandria.

Cell lengths 17.882, 3.798, 12.173 Å; angles 90.00, 90.18, 90.00 degrees
Space group C2/m (No. 12)
Unique sites:
Ac (0.033, 0.000, 0.249) (multiplicity 4)
Ac (0.164, 0.500, 0.750) (multiplicity 4)
La (0.000, 0.500, 0.500) (multiplicity 2)
Pr (0.000, 0.500, 0.000) (multiplicity 2)
Pr (0.172, 0.000, 0.040) (multiplicity 4)
Pr (0.172, 0.000, 0.459) (multiplicity 4)

Calculated values
- V: 826.77 Å³ per cell
- Energy relative to the lowest polymorph listed for this composition: 14.0 kJ/mol of atoms

(2)
The following is a PBE calculation of AcLa2Pr9 after structural relaxation, from Alexandria.

Cell lengths 5.288, 5.288, 15.859 Å; angles 90.00, 90.00, 90.00 degrees
Space group P4/mmm (No. 123)
Unique sites:
Ac (0.000, 0.000, 0.000) (multiplicity 1)
La (0.000, 0.000, 0.335) (multiplicity 2)
Pr (0.000, 0.500, 0.170) (multiplicity 4)
Pr (0.000, 0.500, 0.500) (multiplicity 2)
Pr (0.500, 0.500, 0.000) (multiplicity 1)
Pr (0.500, 0.500, 0.335) (multiplicity 2)

Calculated values
- V: 443.38 Å³ per cell

(3)
The following is a PBE calculation of AcLa2Pr5 after structural relaxation, from Alexandria.

Cell lengths 7.484, 14.976, 5.342 Å; angles 90.00, 90.00, 90.00 degrees
Space group Pbam (No. 55)
Unique sites:
Ac (0.000, 0.000, 0.000) (multiplicity 2)
La (0.247, 0.373, 0.500) (multiplicity 4)
Pr (0.000, 0.500, 0.000) (multiplicity 2)
Pr (0.002, 0.748, 0.000) (multiplicity 4)
Pr (0.250, 0.127, 0.500) (multiplicity 4)

Calculated values
- V: 598.82 Å³ per cell

| no. | energy of formation (eV/atom) | E_tot (eV per cell) | DOS at the Fermi energy (states/eV per atom) |
| --- | --- | --- | --- |
| 1 | 0.170 | -87.12 | 1.613 |
| 2 | 0.012 | -56.84 | 1.741 |
| 3 | 0.016 | -75.47 | 1.794 |